Entry 1:
A relaxed structure of SmPu2AgTe5. Source: the Alexandria database, functional GGA-PBE.

Properties
Its calculated volume is 30.3 Å³ per atom. The calculation puts the energy relative to the elements, uncorrected at -87.74 kJ per mole of atoms.

a = 4.3453 Å, b = 18.8932 Å, c = 13.2898 Å
α = 90.00°, β = 90.00°, γ = 90.00°
Last column: nearest neighbours and their distance in Å.
Space group Cmc2_1 (No. 36)
Inequivalent atoms, fractional coordinates:
1 Sm 0.0000 0.1956 0.0000  6 Te 3.07-3.15, 2 Ag 3.33
2 Pu 0.0000 0.1134 0.6731  8 Te 3.22-3.34
3 Pu 0.0000 0.1236 0.2994  8 Te 3.20-3.51
4 Ag 0.0000 0.4334 0.4491  4 Te 2.76-2.86
5 Te 0.0000 0.0411 0.0715  2 Ag 2.76, 1 Sm 3.07
6 Te 0.0000 0.2896 0.6667  2 Sm 3.12, 3 Pu 3.24-3.33
7 Te 0.0000 0.3082 0.3283  1 Ag 2.86, 2 Sm 3.15
8 Te 0.0000 0.3614 0.9920  1 Sm 3.13, 4 Pu 3.28-3.37
9 Te 0.0000 0.4985 0.7657  1 Ag 2.76

=====

Entry 2:
A relaxed structure of SmPuAg2Te4. Source: the Alexandria database, functional GGA-PBE.

Properties
Its calculated volume is 30.7 Å³ per atom. The calculation puts the energy relative to the elements, uncorrected at -58.09 kJ per mole of atoms.

a = 7.6265 Å, b = 7.7019 Å, c = 8.3736 Å
α = 90.00°, β = 90.00°, γ = 90.00°
Last column: nearest neighbours and their distance in Å.
Space group I222 (No. 23)
Inequivalent atoms, fractional coordinates:
1 Sm 0.0000 0.0000 0.0000  4 Te 3.10
2 Pu 0.0000 0.0000 0.5000  4 Te 3.22
3 Ag 0.0000 0.5000 0.3316  4 Te 2.75-2.91, 1 Ag 2.82
4 Te 0.2399 0.2462 0.8060  2 Ag 2.75-2.91

=====

Entry 3:
A relaxed structure of SmPuTlAg. Source: the Alexandria database, functional GGA-PBE.

Properties
As for the energy of formation: -0.09 eV/atom. Its calculated volume is 27.1 Å³ per atom.

a = 7.5678 Å, b = 7.5678 Å, c = 7.5678 Å
α = 90.00°, β = 90.00°, γ = 90.00°
Last column: nearest neighbours and their distance in Å.
Space group F-43m (No. 216)
Inequivalent atoms, fractional coordinates:
1 Sm 0.0000 0.0000 0.0000  4 Tl 3.28, 4 Ag 3.28
2 Pu 0.0000 0.0000 0.5000  4 Tl 3.28, 4 Ag 3.28
3 Tl 0.2500 0.2500 0.2500  4 Sm 3.28, 4 Pu 3.28
4 Ag 0.2500 0.2500 0.7500  4 Sm 3.28, 4 Pu 3.28

=====

Entry 4:
A relaxed structure of SmPuZnAg. Source: the Alexandria database, functional GGA-PBE.

Properties
As for the energy of formation: -0.08 eV/atom. Its calculated volume is 24.6 Å³ per atom.

a = 7.3290 Å, b = 7.3290 Å, c = 7.3290 Å
α = 90.00°, β = 90.00°, γ = 90.00°
Last column: nearest neighbours and their distance in Å.
Space group F-43m (No. 216)
Inequivalent atoms, fractional coordinates:
1 Sm 0.0000 0.0000 0.0000  4 Zn 3.17, 4 Ag 3.17
2 Pu 0.0000 0.0000 0.5000  4 Ag 3.17, 4 Zn 3.17
3 Zn 0.2500 0.2500 0.2500  4 Pu 3.17, 4 Sm 3.17
4 Ag 0.2500 0.2500 0.7500  4 Sm 3.17, 4 Pu 3.17

=====

Entry 5:
A relaxed structure of Pu2AgSn. Source: the Alexandria database, functional GGA-PBE.

Properties
As for the energy of formation: -0.20 eV/atom. Its calculated volume is 23.8 Å³ per atom.

a = 4.4537 Å, b = 4.4537 Å, c = 4.8009 Å
α = 90.00°, β = 90.00°, γ = 90.00°
Last column: nearest neighbours and their distance in Å.
Space group P4/mmm (No. 123)
Inequivalent atoms, fractional coordinates:
1 Pu 0.0000 0.5000 0.0000  4 Pu 3.15, 4 Sn 3.27, 4 Ag 3.27
2 Ag 0.0000 0.0000 0.5000  4 Sn 3.15, 8 Pu 3.27
3 Sn 0.5000 0.5000 0.5000  4 Ag 3.15, 8 Pu 3.27

=====

Entry 6:
A relaxed structure of Pu2Ag2Sn. Source: the Alexandria database, functional GGA-PBE.

Properties
As for the energy of formation: -0.18 eV/atom. Its calculated volume is 23.2 Å³ per atom.

a = 4.8830 Å, b = 15.3215 Å, c = 3.1074 Å
α = 90.00°, β = 90.00°, γ = 90.00°
Last column: nearest neighbours and their distance in Å.
Space group Cmmm (No. 65)
Inequivalent atoms, fractional coordinates:
1 Pu 0.0000 0.1110 0.0000  3 Pu 3.11-3.40, 6 Ag 3.21-3.26, 4 Sn 3.36
2 Ag 0.0000 0.2977 0.5000  4 Ag 2.85-3.11, 1 Sn 3.10
3 Sn 0.0000 0.5000 0.5000  2 Ag 3.10, 2 Sn 3.11, 8 Pu 3.36

=====

Entry 7:
A relaxed structure of PuAg4Sn. Source: the Alexandria database, functional GGA-PBE.

Properties
As for the energy of formation: -0.06 eV/atom. Its calculated volume is 21.3 Å³ per atom.

a = 7.9951 Å, b = 7.9951 Å, c = 7.9951 Å
α = 90.00°, β = 90.00°, γ = 90.00°
Last column: nearest neighbours and their distance in Å.
Space group F-43m (No. 216)
Inequivalent atoms, fractional coordinates:
1 Pu 0.0000 0.0000 0.0000  12 Ag 3.31, 4 Sn 3.46
2 Ag 0.1252 0.1252 0.3748  6 Ag 2.82-2.83
3 Sn 0.2500 0.2500 0.7500  12 Ag 3.32, 4 Pu 3.46

=====

Entry 8:
A relaxed structure of PuAgSn. Source: the Alexandria database, functional GGA-PBE.

Properties
As for the energy of formation: 0.36 eV/atom. Its calculated volume is 26.0 Å³ per atom.

a = 3.0328 Å, b = 3.0328 Å, c = 16.9420 Å
α = 90.00°, β = 90.00°, γ = 90.00°
Last column: nearest neighbours and their distance in Å.
Space group I4mm (No. 107)
Inequivalent atoms, fractional coordinates:
1 Pu 0.0000 0.0000 0.0000  4 Pu 3.03, 1 Ag 3.06, 1 Sn 3.20
2 Ag 0.0000 0.0000 0.8196  4 Ag 3.03, 1 Pu 3.06, 4 Sn 3.08
3 Sn 0.0000 0.0000 0.1888  4 Sn 3.03, 4 Ag 3.08, 1 Pu 3.20

=====

Entry 9:
A relaxed structure of PuAgSn. Source: the Alexandria database, functional GGA-PBE.

Properties
As for the energy of formation: -0.21 eV/atom. Its calculated volume is 23.4 Å³ per atom.

a = 4.4917 Å, b = 13.3028 Å, c = 4.6932 Å
α = 90.00°, β = 90.00°, γ = 90.00°
Last column: nearest neighbours and their distance in Å.
Space group Cmcm (No. 63)
Inequivalent atoms, fractional coordinates:
1 Pu 0.0000 0.0764 0.2500  2 Pu 3.10, 4 Ag 3.21-3.30, 6 Sn 3.28-3.36
2 Ag 0.0000 0.2512 0.7500  4 Sn 2.91-2.97, 2 Pu 3.21, 4 Ag 3.25
3 Sn 0.0000 0.3882 0.2500  4 Ag 2.91-2.97

=====

Entry 10:
A relaxed structure of PuAg2Sn2. Source: the Alexandria database, functional GGA-PBE.

Properties
As for the energy of formation: -0.10 eV/atom. Its calculated volume is 23.4 Å³ per atom.

a = 5.1400 Å, b = 3.4434 Å, c = 13.2116 Å
α = 90.00°, β = 92.80°, γ = 90.00°
Last column: nearest neighbours and their distance in Å.
Space group P2_1/m (No. 11)
Inequivalent atoms, fractional coordinates:
1 Pu 0.2151 0.2500 0.2449  6 Ag 3.28-3.44, 6 Sn 3.35-3.38, 2 Pu 3.44
2 Ag 0.2172 0.7500 0.0334  4 Sn 2.85-3.07, 2 Ag 2.92
3 Ag 0.2683 0.2500 0.6436  5 Sn 2.80-2.95
4 Sn 0.2454 0.7500 0.4623  4 Ag 2.92-2.95, 4 Sn 3.25
5 Sn 0.2931 0.2500 0.8557  5 Ag 2.80-3.07

=====

Entry 11:
A relaxed structure of PuAg3Sn2. Source: the Alexandria database, functional GGA-PBE.

Properties
As for the energy of formation: -0.08 eV/atom. Its calculated volume is 22.2 Å³ per atom.

a = 15.0424 Å, b = 4.3508 Å, c = 9.4914 Å
α = 90.00°, β = 121.08°, γ = 90.00°
Last column: nearest neighbours and their distance in Å.
Space group C2/m (No. 12)
Inequivalent atoms, fractional coordinates:
1 Pu 0.0972 0.0000 0.4798  1 Pu 3.14, 7 Sn 3.14-3.39, 4 Ag 3.40-3.50
2 Ag 0.0737 0.0000 0.9447  8 Ag 2.90-3.13, 3 Sn 2.96-2.97
3 Ag 0.0822 0.5000 0.1800  3 Sn 2.86-2.95, 6 Ag 2.94-3.07
4 Ag 0.2482 0.5000 0.1035  6 Ag 2.94-3.13, 5 Sn 3.01-3.07
5 Sn 0.0846 0.5000 0.7431  6 Ag 2.95-3.07, 1 Sn 3.11, 2 Pu 3.27
6 Sn 0.2258 0.0000 0.3040  5 Ag 2.86-3.02, 1 Sn 3.11, 1 Pu 3.14

=====

Entry 12:
A relaxed structure of PuAg3Sn3. Source: the Alexandria database, functional GGA-PBE.

Properties
As for the energy of formation: 0.40 eV/atom. Its calculated volume is 30.9 Å³ per atom.

a = 7.5613 Å, b = 7.5613 Å, c = 7.5613 Å
α = 90.00°, β = 90.00°, γ = 90.00°
Last column: nearest neighbours and their distance in Å.
Space group Pm-3n (No. 223)
Inequivalent atoms, fractional coordinates:
1 Pu 0.0000 0.0000 0.0000  12 Sn 4.23, 12 Ag 4.23
2 Ag 0.0000 0.2500 0.5000  4 Sn 2.67
3 Sn 0.0000 0.5000 0.2500  4 Ag 2.67

=====

- Among the records above, which one has the highest calculated volume?
  PuAg3Sn3

=====

- The lowest calculated volume belongs to which entry?
  PuAg4Sn